# MnFe2Rh

An optimized crystal structure of MnFe2Rh (PBE, Alexandria via LeMat-Bulk).

Values from the calculation:
Density of states at the Fermi level: 5.35 states/eV/cell
Energy: -8.32 eV per atom
Space group: P4mm, No. 99
Energy of formation: 44 meV per atom

Unit cell a=2.597 b=2.597 c=7.305 alpha=90.00 beta=90.00 gamma=90.00
Atoms (fractional coordinates):
Fe: 0.000 0.000 0.007
Fe: 0.500 0.500 0.255
Mn: 0.000 0.000 0.489
Rh: 0.500 0.500 0.748

***

# Ca2Ga2SiH2O8

An optimized crystal structure of Ca2Ga2SiH2O8 (PBE, Alexandria via LeMat-Bulk).

Values from the calculation:
Density of states at the Fermi level: 0.00 states/eV/cell
Excess energy over the best structure of this formula in the dataset: 140 meV/atom
Energy: -6.27 eV per atom
Space group: P1, No. 1

Unit cell a=7.758 b=7.992 c=7.965 alpha=104.87 beta=102.99 gamma=119.88
Atoms (fractional coordinates):
Ca: 0.127 0.514 0.002
Ca: 0.518 0.462 0.751
Ca: 0.508 0.931 0.013
Ca: 0.746 0.674 0.219
Ga: 0.750 0.988 0.756
Ga: 0.342 0.128 0.278
Ga: 0.045 0.833 0.707
Ga: 0.271 0.785 0.447
Si: 0.833 0.331 0.571
Si: 0.016 0.259 0.262
H: 0.411 0.462 0.301
H: 0.301 0.145 0.974
H: 0.699 0.327 0.955
H: 0.106 0.164 0.690
O: 0.868 0.155 0.030
O: 0.892 0.205 0.684
O: 0.104 0.123 0.317
O: 0.468 0.901 0.697
O: 0.477 0.646 0.995
O: 0.308 0.866 0.248
O: 0.259 0.012 0.989
O: 0.780 0.478 0.981
O: 0.481 0.397 0.256
O: 0.777 0.772 0.705
O: 0.020 0.740 0.457
O: 0.030 0.582 0.724
O: 0.214 0.508 0.323
O: 0.589 0.271 0.528
O: 0.840 0.241 0.357
O: 0.218 0.145 0.741

***

Number 1: M_tot 2.3 μB/f.u.. Number 2: M_tot 0.0 μB/f.u..